Entry 1:
Compound: HoSi4Os2
Source: Alexandria
Functional: PBE-GGA
Structure: optimized geometry

Cell and atoms, written as POSCAR:
```
HoSi4Os2
1.0
-1.7485 -1.4112 -3.3943
-3.9127 -3.9322 3.6503
-11.0893 11.7877 0.8114
Si Os Ho
16 8 4
direct
0.2500 0.4837 0.4479 Si
0.2500 0.1271 0.5209 Si
0.7500 0.5163 0.5521 Si
0.7500 0.2791 0.7990 Si
0.2500 0.1546 0.1935 Si
0.7500 0.8729 0.4791 Si
0.2500 0.0163 0.9479 Si
0.2500 0.3729 0.0209 Si
0.2500 0.7209 0.2010 Si
0.2500 0.7791 0.7010 Si
0.7500 0.8454 0.8065 Si
0.7500 0.2209 0.2990 Si
0.7500 0.6546 0.3065 Si
0.2500 0.3454 0.6935 Si
0.7500 0.9837 0.0521 Si
0.7500 0.6271 0.9791 Si
0.2500 0.7414 0.0477 Os
0.7500 0.5562 0.6995 Os
0.7500 0.2586 0.9523 Os
0.2500 0.7586 0.5477 Os
0.7500 0.2414 0.4523 Os
0.2500 0.0562 0.8005 Os
0.7500 0.9438 0.1995 Os
0.2500 0.4438 0.3005 Os
0.2500 0.5688 0.8581 Ho
0.2500 0.9312 0.3581 Ho
0.7500 0.4312 0.1419 Ho
0.7500 0.0688 0.6419 Ho
```

## Properties
SG = Pnma (62)
E = -210.4 eV/cell
Density = 10.0 g cm⁻³
Energy relative to the elements, uncorrected = -3.86 eV/f.u.

***

Entry 2:
Compound: HoSi2Os2
Source: Alexandria
Functional: PBE-GGA
Structure: optimized geometry

Cell and atoms, written as POSCAR:
```
HoSi2Os2
1.0
5.6494 0.0200 0.0000
2.5634 5.0344 0.0000
-4.1064 -2.5272 2.9439
Ho Os Si
1 2 2
direct
0.0000 0.0000 0.0000 Ho
0.7500 0.2500 0.5000 Os
0.2500 0.7500 0.5000 Os
0.3728 0.3728 0.0000 Si
0.6272 0.6272 0.0000 Si
```

## Properties
SG = I4/mmm (139)
E = -41.5 eV/cell
Density = 12.0 g cm⁻³
Energy relative to the elements, uncorrected = -3.62 eV/f.u.
Energy above the most stable polymorph in this dataset = 0 meV/atom

***

Entry 3:
Compound: Ho2Si5Os3
Source: Alexandria
Functional: PBE-GGA
Structure: optimized geometry

Cell and atoms, written as POSCAR:
```
Ho2Si5Os3
1.0
-3.6194 -3.8813 -1.9221
1.3215 -7.2098 3.7659
-7.4363 1.1597 3.3564
Si Ho Os
10 4 6
direct
0.2500 0.2081 0.7919 Si
0.7500 0.5002 0.4998 Si
0.7500 0.7919 0.2081 Si
0.3316 0.0732 0.2640 Si
0.8316 0.2640 0.0732 Si
0.2500 0.4998 0.5002 Si
0.1684 0.7360 0.9268 Si
0.7500 0.2079 0.7921 Si
0.2500 0.7921 0.2079 Si
0.6684 0.9268 0.7360 Si
0.2324 0.4034 0.1315 Ho
0.7324 0.1315 0.4034 Ho
0.2676 0.8685 0.5966 Ho
0.7676 0.5966 0.8685 Ho
0.2500 0.9998 0.0002 Os
0.4052 0.4484 0.7423 Os
0.9052 0.7423 0.4484 Os
0.0948 0.2577 0.5516 Os
0.7500 0.0002 0.9998 Os
0.5948 0.5516 0.2577 Os
```

## Properties
SG = Ibam (72)
E = -154.4 eV/cell
Density = 10.5 g cm⁻³
Energy relative to the elements, uncorrected = -7.24 eV/f.u.

***

Entry 4:
Compound: Ho3Si2Os
Source: Alexandria
Functional: PBE-GGA
Structure: optimized geometry

Cell and atoms, written as POSCAR:
```
Ho3Si2Os
1.0
-3.7052 -0.1190 -1.8632
2.0679 -10.4492 -3.4446
-4.7152 -4.1108 9.6394
Os Si Ho
4 8 12
direct
0.2500 0.1365 0.1270 Os
0.7500 0.8635 0.8730 Os
0.7500 0.6365 0.3730 Os
0.2500 0.3635 0.6270 Os
0.2500 0.0074 0.3051 Si
0.7500 0.1874 0.0207 Si
0.7500 0.3126 0.5207 Si
0.7500 0.9926 0.6949 Si
0.2500 0.6874 0.4793 Si
0.2500 0.4926 0.8051 Si
0.2500 0.8126 0.9793 Si
0.7500 0.5074 0.1949 Si
0.2500 0.3793 0.0582 Ho
0.7500 0.5570 0.6220 Ho
0.7500 0.2012 0.2858 Ho
0.7500 0.6207 0.9418 Ho
0.2500 0.4430 0.3780 Ho
0.2500 0.0570 0.8780 Ho
0.7500 0.2988 0.7858 Ho
0.7500 0.9430 0.1220 Ho
0.2500 0.1207 0.5582 Ho
0.7500 0.8793 0.4418 Ho
0.2500 0.7012 0.2142 Ho
0.2500 0.7988 0.7142 Ho
```

## Properties
SG = Pnma (62)
E = -158.4 eV/cell
Density = 9.2 g cm⁻³
Energy relative to the elements, uncorrected = -3.80 eV/f.u.

***

Entry 5:
Compound: HoSi3Os2
Source: Alexandria
Functional: PBE-GGA
Structure: optimized geometry

Cell and atoms, written as POSCAR:
```
HoSi3Os2
1.0
4.1505 0.0000 0.0000
-2.0753 5.8715 0.0000
0.0000 0.0000 8.2733
Ho Os Si
2 4 6
direct
0.8093 0.6186 0.7500 Ho
0.1907 0.3814 0.2500 Ho
0.4682 0.9365 0.2500 Os
0.0000 0.0000 0.0000 Os
0.5318 0.0635 0.7500 Os
0.0000 0.0000 0.5000 Os
0.6164 0.2329 0.0246 Si
0.6164 0.2329 0.4754 Si
0.3836 0.7671 0.5246 Si
0.1297 0.2593 0.7500 Si
0.8703 0.7407 0.2500 Si
0.3836 0.7671 0.9754 Si
```

## Properties
SG = Cmcm (63)
E = -92.3 eV/cell
Density = 10.4 g cm⁻³
Energy relative to the elements, uncorrected = -2.84 eV/f.u.

***

Entry 6:
Compound: HoSi2Os2
Source: Alexandria
Functional: PBE-GGA
Structure: optimized geometry

Cell and atoms, written as POSCAR:
```
HoSi2Os2
1.0
-2.4123 -0.5506 -3.2439
0.2341 -4.0408 0.5118
-4.0220 0.1428 2.9667
Os Ho Si
2 1 2
direct
0.5000 0.0000 0.5000 Os
0.0000 0.5000 0.5000 Os
0.0000 0.0000 0.0000 Ho
0.5000 0.5000 0.2343 Si
0.5000 0.5000 0.7657 Si
```

## Properties
SG = P4/mmm (123)
E = -40.6 eV/cell
Density = 12.0 g cm⁻³
Energy relative to the elements, uncorrected = -2.69 eV/f.u.
Energy above the most stable polymorph in this dataset = 185 meV/atom

***

Entry 7:
Compound: Ho2SiOs2
Source: Alexandria
Functional: PBE-GGA
Structure: optimized geometry

Cell and atoms, written as POSCAR:
```
Ho2SiOs2
1.0
-4.0427 3.8633 0.5187
-4.2075 0.2564 -3.7105
-5.3140 -3.9639 3.5877
Ho Os Si
4 4 2
direct
0.5011 0.7886 0.8561 Ho
0.2114 0.4989 0.6439 Ho
0.4989 0.2114 0.1439 Ho
0.7886 0.5011 0.3561 Ho
0.7139 0.0122 0.5121 Os
0.9878 0.2861 0.9879 Os
0.0122 0.7139 0.0121 Os
0.2861 0.9878 0.4879 Os
0.0913 0.9087 0.2500 Si
0.9087 0.0913 0.7500 Si
```

## Properties
SG = C2/c (15)
E = -79.3 eV/cell
Density = 12.3 g cm⁻³
Energy relative to the elements, uncorrected = -2.59 eV/f.u.

***

Entry 8:
Compound: HoSi3Os3
Source: Alexandria
Functional: PBE-GGA
Structure: optimized geometry

Cell and atoms, written as POSCAR:
```
HoSi3Os3
1.0
6.6386 0.0000 0.0000
3.3193 5.7492 0.0000
3.3193 1.9164 6.5962
Si Os Ho
6 6 2
direct
0.1102 0.8102 0.7308 Si
0.6512 0.8898 0.2692 Si
0.1898 0.6512 0.2692 Si
0.8898 0.1898 0.2692 Si
0.3488 0.1102 0.7308 Si
0.8102 0.3488 0.7308 Si
0.7542 0.0901 0.6426 Os
0.9099 0.4869 0.3574 Os
0.5131 0.7542 0.6426 Os
0.2458 0.9099 0.3574 Os
0.0901 0.5131 0.6426 Os
0.4869 0.2458 0.3574 Os
0.3345 0.3345 0.9964 Ho
0.6655 0.6655 0.0036 Ho
```

## Properties
SG = R-3 (148)
E = -111.9 eV/cell
Density = 10.8 g cm⁻³
Energy relative to the elements, uncorrected = -1.43 eV/f.u.
Energy above the most stable polymorph in this dataset = 0 meV/atom

***

Entry 9:
Compound: HoSi2TcOs
Source: Alexandria
Functional: PBE-GGA
Structure: optimized geometry

Cell and atoms, written as POSCAR:
```
HoSi2TcOs
1.0
4.1603 0.0000 0.0000
0.0000 4.1603 0.0000
-2.0801 -2.0801 4.8915
Os Si Ho Tc
1 2 1 1
direct
0.2500 0.7500 0.5000 Os
0.3743 0.3743 0.7486 Si
0.6257 0.6257 0.2514 Si
0.0000 0.0000 0.0000 Ho
0.7500 0.2500 0.5000 Tc
```

## Properties
SG = I-4m2 (119)
E = -40.4 eV/cell
Density = 10.0 g cm⁻³
Energy relative to the elements, uncorrected = -3.36 eV/f.u.

***

Entry 10:
Compound: HoTiSi2Os
Source: Alexandria
Functional: PBE-GGA
Structure: optimized geometry

Cell and atoms, written as POSCAR:
```
HoTiSi2Os
1.0
3.9867 0.0000 0.0000
0.0000 3.9867 0.0000
-1.9933 -1.9933 5.3801
Ti Os Ho Si
1 1 1 2
direct
0.2500 0.7500 0.5000 Ti
0.7500 0.2500 0.5000 Os
0.0000 0.0000 0.0000 Ho
0.3890 0.3890 0.7779 Si
0.6110 0.6110 0.2221 Si
```

## Properties
SG = I-4m2 (119)
E = -38.5 eV/cell
Density = 8.9 g cm⁻³
Energy relative to the elements, uncorrected = -3.95 eV/f.u.

***

Entry 11:
Compound: Sm2HoOs
Source: Alexandria
Functional: PBE-GGA
Structure: optimized geometry

Cell and atoms, written as POSCAR:
```
Sm2HoOs
1.0
6.4140 0.0000 0.0000
0.0000 7.4334 0.0000
0.0000 0.0000 9.3107
Os Sm Ho
4 8 4
direct
0.5350 0.1162 0.7500 Os
0.0350 0.3838 0.2500 Os
0.9650 0.6162 0.7500 Os
0.4650 0.8838 0.2500 Os
0.3294 0.1756 0.0637 Sm
0.3294 0.1756 0.4363 Sm
0.1706 0.6756 0.0637 Sm
0.8294 0.3244 0.9363 Sm
0.6706 0.8244 0.9363 Sm
0.1706 0.6756 0.4363 Sm
0.6706 0.8244 0.5637 Sm
0.8294 0.3244 0.5637 Sm
0.6367 0.5418 0.2500 Ho
0.1367 0.9582 0.7500 Ho
0.8633 0.0418 0.2500 Ho
0.3633 0.4582 0.7500 Ho
```

## Properties
SG = Pnma (62)
E = -104.0 eV/cell
Density = 9.8 g cm⁻³
Energy above the most stable polymorph in this dataset = 0 meV/atom